1.
The following is a DFT calculation (PBE-GGA) of a geometry-optimized KTlInSn structure.

CIF file:
```
data_KTlInSn
_symmetry_space_group_name_H-M 'C 1 m 1'
_symmetry_Int_Tables_number 8
_cell_length_a 8.527
_cell_length_b 4.943
_cell_length_c 7.306
_cell_angle_alpha 90.00
_cell_angle_beta 113.12
_cell_angle_gamma 90.00
loop_
_symmetry_equiv_pos_as_xyz
'x,y,z'
'x,-y,z'
'x+1/2,y+1/2,z'
'x+1/2,-y+1/2,z'
loop_
_atom_site_label
_atom_site_type_symbol
_atom_site_fract_x
_atom_site_fract_y
_atom_site_fract_z
K1 K 0.000 0.000 0.000
Tl1 Tl 0.227 0.000 0.681
In1 In 0.273 0.500 0.317
Sn1 Sn 0.486 0.000 0.458
```

Summary:
The calculation puts the energy relative to the lowest polymorph listed for this composition at 0.0 meV per atom. The energy relative to the elements comes out at -8.5 kJ/mol of atoms. The value obtained for the density of states at the Fermi level is 1.97 states/eV/f.u.


2.
The following is a DFT calculation (PBE-GGA) of a geometry-optimized Tm4Pd12Au structure.

CIF file:
```
data_Tm4Pd12Au
_symmetry_space_group_name_H-M 'I m -3 m'
_symmetry_Int_Tables_number 229
_symmetry_space_group_name_Hall '-I 4 2 3'
_cell_length_a 8.506
_cell_length_b 8.506
_cell_length_c 8.506
_cell_angle_alpha 90.00
_cell_angle_beta 90.00
_cell_angle_gamma 90.00
loop_
_atom_site_label
_atom_site_type_symbol
_atom_site_fract_x
_atom_site_fract_y
_atom_site_fract_z
Tm1 Tm 0.250 0.250 0.250
Pd1 Pd 0.000 0.000 0.303
Pd2 Pd 0.000 0.250 0.500
Au1 Au 0.000 0.000 0.000
```

Summary:
The energy relative to the elements comes out at -73.6 kJ/mol of atoms. The value obtained for the density of states at the Fermi level is 3.32 states/eV/f.u.